A relaxed structure of Sr2Co2O. Source: Alexandria via LeMat-Bulk, functional PBE+U.

Structure (POSCAR):
```
Sr2Co2O
1.0
-2.611 1.852 -0.932
-1.993 -2.655 0.308
-3.747 1.617 7.744
Sr Co O
2 2 1
Cartesian
-2.563 -0.037 1.143
-5.788 0.850 5.976
-4.330 1.533 3.249
-4.021 -0.720 3.869
0.000 0.000 0.000
```

Results
V, Å³/atom: 18.74
Raw total energy, eV/atom: -4.192
Space group: I4/mmm
Magnetic moment, μB/f.u.: 3.6